Here is a geometry-optimized Pm4YHo8 structure from Alexandria via LeMat-Bulk. Energies are from PBE-GGA.

a = 7.3962 Å, b = 7.3962 Å, c = 26.8548 Å
α = 90.00°, β = 90.00°, γ = 120.00°
With the nearest neighbours (Å) after each atom.
Space group R-3m (No. 166, hexagonal axes)
Inequivalent atoms, fractional coordinates:
Pm 0.0000 0.0000 0.0000 x3  6 Ho 3.36, 6 Pm 3.70
Pm 0.0000 0.5000 0.0000 x9  6 Ho 3.60-3.77, 6 Pm 3.70
Y 0.0000 0.0000 0.5000 x3  6 Ho 2.93
Ho 0.0000 0.0000 0.2176 x6  9 Ho 3.58-3.72, 3 Pm 3.77
Ho 0.0413 0.5207 0.7707 x18  1 Y 2.93, 2 Ho 3.24

Calculated values
N(E_F) ... 17.169 states/eV/f.u.
V ... 424.1 Å³/f.u.
Magnetic moment ... 0.00 μB per formula unit
Energy relative to the elements ... 0.2155 eV per atom